This record from Alexandria via LeMat-Bulk describes a relaxed structure of PuNbOs. The functional is PBE.

Results
Calculated formation energy, eV per atom: 0.074
SG: No. 107
E above lowest polymorph, eV/atom: 0.057
Theoretical density, Mg/m³: 15.18

a b c (Å): 3.1680 3.1680 6.1682
angles (deg): 104.88 104.88 90.00
Last column: nearest neighbours and their distance in Å.
Positions (direct):
Nb 0.5950 0.5950 0.1900  4 Os 2.68
Os 0.9670 0.9670 0.9340  4 Nb 2.68
Pu 0.2880 0.2880 0.5760  4 Os 3.04, 4 Nb 3.15, 4 Pu 3.17